# LiVF4

A relaxed structure of LiVF4 (PBE+U, Alexandria).

Properties
Space group ... P2/c
Relative energy among the computed polymorphs ... 0.017 eV/atom
Crystal system ... monoclinic

a b c (Å): 5.640 4.676 5.222
angles (deg): 87.45 90.00 90.00
Element x y z (fractional)
Li  0.367  0.500  0.750
Li  0.633  0.500  0.250
V  0.845  0.000  0.750
V  0.155  0.000  0.250
F  0.116  0.781  0.920
F  0.884  0.781  0.420
F  0.628  0.736  0.910
F  0.372  0.736  0.410
F  0.628  0.264  0.590
F  0.372  0.264  0.090
F  0.116  0.219  0.580
F  0.884  0.219  0.080